No. 1
The following is a GGA-PBE calculation of an optimized crystal structure of Th4PdAuSe2, from Alexandria via LeMat-Bulk.

The structure belongs to space group P2/m (No. 10); the cell edges are 7.307, 4.218 and 7.537 Å and the angles 90.00°, 108.76° and 90.00°. The inequivalent atoms are Th at (0.242, 0.000, 0.241), Th at (0.245, 0.500, 0.752), Pd at (0.000, 0.500, 0.000), Au at (0.500, 0.000, 0.000), Se at (0.000, 0.000, 0.500) and Se at (0.500, 0.500, 0.500).

The formation energy (no corrections) is -1.039 eV per atom.


No. 2
The following is a GGA-PBE calculation of an optimized crystal structure of Ca2MnCl, from Alexandria via LeMat-Bulk.

The structure belongs to space group Pmm2 (No. 25); the cell edges are 4.196, 4.236 and 6.182 Å and the angles 90.00°, 90.00° and 90.00°. The inequivalent atoms are Ca at (0.000, 0.000, 0.000), Ca at (0.500, 0.500, 0.497), Mn at (0.000, 0.000, 0.501) and Cl at (0.500, 0.500, 0.000).

The excess energy over the best structure of this formula in the dataset is 0.722 eV/f.u. The formation energy (no corrections) is -0.337 eV per atom.


No. 3
The following is a GGA-PBE calculation of an optimized crystal structure of Re2SnPtN, from Alexandria via LeMat-Bulk.

The structure belongs to space group P4/mmm (No. 123); the cell edges are 5.079, 5.079 and 3.874 Å and the angles 90.00°, 90.00° and 90.00°. The inequivalent atoms are Re at (0.000, 0.500, 0.000), Sn at (0.000, 0.000, 0.000), Pt at (0.500, 0.500, 0.500) and N at (0.000, 0.000, 0.500).

The formation energy (no corrections) is 2.729 eV per atom.